Entry 1:
PBE-GGA SiRu, optimized geometry; raw formation energy = -312 meV/atom; symmetry = Cm, No. 8
1.0
1.4493 5.1516 -0.0203
-1.4493 5.1516 -0.0203
0.0000 1.3458 5.4317
Si Ru
3 3
Cartesian
0.0000 10.2779 0.0805 Si
0.0000 10.7193 3.0334 Si
0.0000 4.0281 5.0960 Si
0.0000 3.9159 1.7012 Ru
0.0000 7.6730 3.9207 Ru
0.0000 6.6945 1.4022 Ru

Entry 2:
PBE-GGA ZrScP2, optimized geometry; polymorph energy (0 for the lowest one) = 0.5491 eV/atom; energy of formation = -887 meV per atom; symmetry = Fm-3m, No. 225
1.0
0.0000 3.2712 3.2712
3.2712 0.0000 3.2712
3.2712 3.2712 0.0000
Sc P Zr
1 2 1
Cartesian
0.0000 0.0000 0.0000 Sc
1.6356 1.6356 1.6356 P
4.9069 4.9069 4.9069 P
3.2712 3.2712 3.2712 Zr

Entry 3:
PBE-GGA Er2AlPd, optimized geometry; polymorph energy (0 for the lowest one) = 0.0000 eV/atom; energy of formation = -663 meV per atom; symmetry = P4/mmm, No. 123
1.0
3.5414 0.0000 0.0000
0.0000 3.5414 0.0000
0.0000 0.0000 6.9900
Al Pd Er
1 1 2
Cartesian
1.7707 1.7707 3.4950 Al
1.7707 1.7707 0.0000 Pd
0.0000 0.0000 5.3144 Er
0.0000 0.0000 1.6757 Er

no.,DFT total energy (eV/atom)
1,-7.6612
2,-7.3116
3,-5.1788